# 1
The following is a DFT calculation (PBE-GGA) of crystalline Pa3Al4Si3 at its relaxed geometry.

```
Pa3Al4Si3
1.0
-4.643 4.643 4.643
4.643 -4.643 4.643
4.643 4.643 -4.643
Pa Al Si
6 8 6
Cartesian
4.643 -2.321 3.482 Pa
3.482 4.643 -2.321 Pa
4.643 2.321 1.161 Pa
2.321 1.161 4.643 Pa
1.161 4.643 2.321 Pa
-2.321 3.482 4.643 Pa
3.155 1.488 -1.488 Al
5.476 -0.833 0.833 Al
1.488 -1.488 3.155 Al
1.488 1.488 1.488 Al
-1.488 3.155 1.488 Al
0.833 5.476 -0.833 Al
-0.833 0.833 5.476 Al
3.809 3.809 3.809 Al
6.964 1.161 0.000 Si
3.482 0.000 2.321 Si
2.321 3.482 0.000 Si
0.000 2.321 3.482 Si
1.161 0.000 6.964 Si
0.000 6.964 1.161 Si
```

Output
- Symmetry: No. 220
- DOS(E_F): 24.19 states/eV/cell
- Raw formation energy: -229 meV/atom

***

# 2
The following is a DFT calculation (PBE-GGA) of crystalline PaAl2Si2 at its relaxed geometry.

```
PaAl2Si2
1.0
4.452 0.000 0.000
0.000 3.803 0.000
-0.478 0.000 10.639
Pa Al Si
2 4 4
Cartesian
0.606 0.951 2.584 Pa
3.368 2.852 8.055 Pa
0.793 2.852 5.206 Al
1.090 0.951 9.306 Al
2.884 2.852 1.333 Al
3.181 0.951 5.433 Al
0.731 2.852 0.175 Si
1.041 0.951 6.895 Si
2.933 2.852 3.744 Si
3.243 0.951 10.464 Si
```

Output
- Symmetry: No. 11
- DOS(E_F): 8.57 states/eV/cell
- Raw formation energy: -157 meV/atom